No. 1
Here is crystalline CePm3Pd12 at its relaxed geometry from Alexandria via LeMat-Bulk. Energies are from PBE.

Structure (extended XYZ):
```
16
Lattice="4.174 0.000 0.000 0.000 4.174 0.000 0.000 0.000 16.685" Properties=species:S:1:pos:R:3 pbc="T T T"
Ce 0.000 0.000 0.000
Pm 0.000 0.000 4.178
Pm 0.000 0.000 8.342
Pm 0.000 0.000 12.507
Pd 0.000 2.087 2.011
Pd 0.000 2.087 6.239
Pd 0.000 2.087 10.446
Pd 0.000 2.087 14.674
Pd 2.087 0.000 2.011
Pd 2.087 0.000 6.239
Pd 2.087 0.000 10.446
Pd 2.087 0.000 14.674
Pd 2.087 2.087 0.000
Pd 2.087 2.087 4.133
Pd 2.087 2.087 8.342
Pd 2.087 2.087 12.552
```

Output
The crystal system is tetragonal.

=====

No. 2
Here is crystalline CePm2Pd at its relaxed geometry from Alexandria via LeMat-Bulk. Energies are from PBE.

Structure (extended XYZ):
```
4
Lattice="1.896 1.094 9.732 -1.896 1.094 9.732 0.000 -2.189 9.732" Properties=species:S:1:pos:R:3 pbc="T T T"
Ce 0.000 0.000 0.000
Pm 0.000 0.000 16.512
Pm 0.000 0.000 22.410
Pd 0.000 0.000 4.860
```

Output
The crystal system is trigonal.

=====

No. 3
Here is crystalline CePmPd4 at its relaxed geometry from Alexandria via LeMat-Bulk. Energies are from PBE.

Structure (extended XYZ):
```
12
Lattice="2.209 -6.715 0.000 2.209 6.715 0.000 0.000 0.000 8.105" Properties=species:S:1:pos:R:3 pbc="T T T"
Ce 2.209 6.522 6.079
Ce 2.209 -6.522 2.026
Pm 2.209 2.619 6.079
Pm 2.209 -2.619 2.026
Pd 2.209 4.628 0.104
Pd 2.209 4.628 3.949
Pd 2.209 2.139 2.026
Pd 2.209 0.000 0.000
Pd 2.209 0.000 4.053
Pd 2.209 -2.139 6.079
Pd 2.209 -4.628 4.156
Pd 2.209 -4.628 8.001
```

Output
The crystal system is orthorhombic.

=====

| no. | calculated formation energy (eV per formula unit) | density (Mg/m³) |
| --- | --- | --- |
| 1 | -13.05 | 10.58 |
| 2 | -0.71 | 7.35 |
| 3 | -4.26 | 9.82 |